VASP calculation (PBE) on crystalline Zn3Co at its relaxed geometry.

energy of formation from the pure elements	-0.013	eV per atom
calculated volume	249.9	Å³ per cell
size of the total moment	0.015	μB/atom
electronic total energy	-43.914	eV/cell

Cell lengths 6.087, 6.087, 6.744 Å; angles 90.00, 90.00, 90.00 degrees
Space group P4_2/mnm (No. 136)
Inequivalent atoms, fractional coordinates:
Zn 0.000 0.500 0.000 (multiplicity 4)
Zn 0.162 0.162 0.235 (multiplicity 8)
Co 0.127 0.873 0.500 (multiplicity 4)

VASP calculation (PBE) on crystalline ZnCo at its relaxed geometry.

energy of formation from the pure elements	0.859	eV per atom
calculated volume	404.7	Å³ per cell
size of the total moment	0.764	μB/atom
electronic total energy	-53.289	eV/cell

Cell lengths 7.397, 7.397, 7.397 Å; angles 90.00, 90.00, 90.00 degrees
Space group I-43m (No. 217)
Inequivalent atoms, fractional coordinates:
Zn 0.204 0.204 0.796 (multiplicity 8)
Co 0.110 0.110 0.110 (multiplicity 8)

VASP calculation (PBE) on crystalline Zn2Co at its relaxed geometry.

energy of formation from the pure elements	-0.009	eV per atom
calculated volume	45.5	Å³ per cell
size of the total moment	0.174	μB/atom
electronic total energy	-9.682	eV/cell

Cell lengths 4.170, 4.170, 2.614 Å; angles 90.00, 90.00, 90.00 degrees
Space group P4/mmm (No. 123)
Inequivalent atoms, fractional coordinates:
Zn 0.000 0.500 0.000 (multiplicity 2)
Co 0.000 0.000 0.500 (multiplicity 1)

VASP calculation (PBE) on crystalline ZnCo at its relaxed geometry.

energy of formation from the pure elements	0.144	eV per atom
calculated volume	422.6	Å³ per cell
size of the total moment	0.633	μB/atom
electronic total energy	-129.471	eV/cell

Cell lengths 4.288, 7.277, 13.543 Å; angles 90.00, 90.00, 90.00 degrees
Space group Fddd (No. 70, origin choice 2)
Inequivalent atoms, fractional coordinates:
Zn 0.125 0.292 0.125 (multiplicity 16)
Co 0.125 0.125 0.541 (multiplicity 16)